The following is a DFT calculation (GGA-PBE) of an optimized crystal structure of Tb6Tl5In.

Cell lengths 9.799, 11.258, 6.601 Å; angles 90.00, 102.64, 90.00 degrees
Space group C2/m (No. 12)
Symmetry-distinct sites (fractional):
Tb1 0.248 0.000 0.245 x4
Tb2 0.250 0.166 0.750 x8
Tl1 0.000 0.000 0.500 x2
Tl2 0.000 0.170 0.000 x4
Tl3 0.000 0.336 0.500 x4
In1 0.000 0.500 0.000 x2

## Properties
- ΔE_f (meV per atom) = -268.3
- energy above the most stable polymorph in this dataset (kJ per mole of atoms) = 10.2